Entry 1:
Crystalline BaCaI at its relaxed geometry. Source: the Alexandria database, functional GGA-PBE.

Theoretical density (Mg/m³): 3.732
Formation energy without anion corrections (eV/atom): -0.784
Total energy (eV per cell): -31.3

Structure (CIF):
```
data_BaCaI
_symmetry_space_group_name_H-M 'C m c m'
_symmetry_Int_Tables_number 63
_symmetry_space_group_name_Hall '-C 2c 2'
_cell_length_a 4.343
_cell_length_b 18.017
_cell_length_c 6.922
_cell_angle_alpha 90.00
_cell_angle_beta 90.00
_cell_angle_gamma 90.00
loop_
_atom_site_label
_atom_site_fract_x
_atom_site_fract_y
_atom_site_fract_z
Ba1 0.000 0.139 0.250
Ca1 0.000 0.449 0.250
I1 0.000 0.195 0.750
```

Entry 2:
Crystalline La2CeSnN5 at its relaxed geometry. Source: the Alexandria database, functional GGA-PBE.

Theoretical density (Mg/m³): 7.068
Formation energy without anion corrections (eV/atom): -0.788
Total energy (eV per cell): -274.0

Structure (CIF):
```
data_La2CeSnN5
_symmetry_space_group_name_H-M 'C m c 21'
_symmetry_Int_Tables_number 36
_symmetry_space_group_name_Hall 'C 2c -2'
_cell_length_a 3.568
_cell_length_b 14.690
_cell_length_c 10.877
_cell_angle_alpha 90.00
_cell_angle_beta 90.00
_cell_angle_gamma 90.00
loop_
_atom_site_label
_atom_site_fract_x
_atom_site_fract_y
_atom_site_fract_z
La1 0.000 0.113 0.000
La2 0.000 0.130 0.587
Ce1 0.000 0.218 0.304
Sn1 0.000 0.486 0.778
N1 0.000 0.056 0.363
N2 0.000 0.283 0.953
N3 0.000 0.302 0.669
N4 0.000 0.372 0.320
N5 0.000 0.496 0.088
```

Entry 3:
Crystalline Ho2CoH at its relaxed geometry. Source: the Alexandria database, functional GGA-PBE.

Theoretical density (Mg/m³): 9.376
Total energy (eV per cell): -19.8

Structure (CIF):
```
data_Ho2CoH
_symmetry_space_group_name_H-M 'P 4/m m m'
_symmetry_Int_Tables_number 123
_symmetry_space_group_name_Hall '-P 4 2'
_cell_length_a 3.170
_cell_length_b 3.170
_cell_length_c 6.869
_cell_angle_alpha 90.00
_cell_angle_beta 90.00
_cell_angle_gamma 90.00
loop_
_atom_site_label
_atom_site_fract_x
_atom_site_fract_y
_atom_site_fract_z
Ho1 0.000 0.000 0.247
Co1 0.500 0.500 0.000
H1 0.500 0.500 0.500
```

Entry 4:
Crystalline Pm6Er4Th at its relaxed geometry. Source: the Alexandria database, functional GGA-PBE.

Theoretical density (Mg/m³): 8.075
Total energy (eV per cell): -210.4

Structure (CIF):
```
data_Pm6Er4Th
_symmetry_space_group_name_H-M 'C m c m'
_symmetry_Int_Tables_number 63
_symmetry_space_group_name_Hall '-C 2c 2'
_cell_length_a 5.838
_cell_length_b 9.674
_cell_length_c 25.795
_cell_angle_alpha 90.00
_cell_angle_beta 90.00
_cell_angle_gamma 90.00
loop_
_atom_site_label
_atom_site_fract_x
_atom_site_fract_y
_atom_site_fract_z
Pm1 0.000 0.000 0.000
Pm2 0.000 0.052 0.250
Pm3 0.000 0.298 0.600
Pm4 0.000 0.380 0.181
Er1 0.000 0.046 0.124
Er2 0.000 0.349 0.043
Th1 0.000 0.288 0.750
```

Entry 5:
Crystalline ZnPtAu2 at its relaxed geometry. Source: the Alexandria database, functional GGA-PBE.

Theoretical density (Mg/m³): 15.174
Total energy (eV per cell): -55.6

Structure (CIF):
```
data_ZnPtAu2
_symmetry_space_group_name_H-M 'I -4 2 d'
_symmetry_Int_Tables_number 122
_symmetry_space_group_name_Hall 'I -4 2bw'
_cell_length_a 3.838
_cell_length_b 3.838
_cell_length_c 19.451
_cell_angle_alpha 90.00
_cell_angle_beta 90.00
_cell_angle_gamma 90.00
loop_
_atom_site_label
_atom_site_fract_x
_atom_site_fract_y
_atom_site_fract_z
Zn1 0.000 0.000 0.000
Pt1 0.000 0.000 0.500
Au1 0.250 0.250 0.125
```

Entry 6:
Crystalline Tb2Dy3Se4 at its relaxed geometry. Source: the Alexandria database, functional GGA-PBE.

Theoretical density (Mg/m³): 8.081
Formation energy without anion corrections (eV/atom): -1.546
Total energy (eV per cell): -50.9

Structure (CIF):
```
data_Tb2Dy3Se4
_symmetry_space_group_name_H-M 'P -3 m 1'
_symmetry_Int_Tables_number 164
_symmetry_space_group_name_Hall '-P 3 2"'
_cell_length_a 3.9862
_cell_length_b 3.9862
_cell_length_c 16.7412
_cell_angle_alpha 90.00
_cell_angle_beta 90.00
_cell_angle_gamma 120.00
loop_
_atom_site_label
_atom_site_fract_x
_atom_site_fract_y
_atom_site_fract_z
Tb1 0.3333 0.6667 0.2082
Dy1 0.0000 0.0000 0.0000
Dy2 0.3333 0.6667 0.5834
Se1 0.0000 0.0000 0.3109
Se2 0.3333 0.6667 0.8968
```